The following is a GGA-PBE calculation of Ta2Sb2PdSe6 after structural relaxation, from Alexandria.

Cell: 6.502 6.502 8.317 Å, 98.38 98.38 124.34°
Atoms (fractional coordinates):
Ta 0.133 0.867 0.000
Ta 0.867 0.133 0.000
Sb 0.206 0.794 0.500
Sb 0.794 0.206 0.500
Pd 0.500 0.500 0.000
Se 0.085 0.085 0.780
Se 0.236 0.602 0.186
Se 0.398 0.764 0.814
Se 0.602 0.236 0.186
Se 0.764 0.398 0.814
Se 0.915 0.915 0.220

The volume is 25.073 Å³/atom. The value obtained for the density of states at the Fermi level is 6.10 states/eV per cell. As for the space group: No. 12. As for the uncorrected formation energy: -0.353 eV/atom. The total DFT energy (no corrections) is -5.6299 eV per atom.